5
Lattice="4.6392 0.0000 0.0000 0.0000 4.6392 0.0000 0.0000 0.0000 3.3965" Properties=species:S:1:pos:R:3 comment="AsHOsSe2 | Alexandria via LeMat-Bulk | PBE-GGA | optimized geometry" energy_ev_per_cell=-21.4 relative_energy_ev_per_atom=0.0000 n_ef_per_ev_fu=2.52 magmom_total_mub_per_fu=0.000 pbc="T T T"
H 0.0000 0.0000 0.0000
As 0.0000 0.0000 1.6983
Os 2.3196 2.3196 1.6983
Se 0.0000 2.3196 0.0000
Se 2.3196 0.0000 0.0000